This record from OQMD describes crystalline NaInAuO at its relaxed geometry. The functional is PBE.

Geometry as CIF:
```
data_NaInAuO
_chemical_formula_sum 'Na2 In2 Au2 O2'
_cell_length_a 6.535
_cell_length_b 6.535
_cell_length_c 5.321
_cell_angle_alpha 90.00
_cell_angle_beta 90.00
_cell_angle_gamma 139.21
_space_group_name_H-M_alt 'P 1'
_space_group_IT_number 1
loop_
_space_group_symop_operation_xyz
'x,y,z'
loop_
_atom_site_label
_atom_site_fract_x
_atom_site_fract_y
_atom_site_fract_z
_atom_site_occupancy
O1 0.557 0.443 0.548 1
O2 0.443 0.557 0.048 1
Na1 0.098 0.902 0.648 1
Na2 0.902 0.098 0.148 1
In1 0.609 0.391 0.160 1
In2 0.391 0.609 0.660 1
Au1 0.773 0.227 0.644 1
Au2 0.227 0.773 0.144 1
```

Calculated values
For the energy above the most stable polymorph in this dataset, the calculation gives 48.2 meV per atom. Its crystal system is orthorhombic. The total energy comes out at -3.842 eV/atom.